Record 1
Computed, not measured: a relaxed YInHg2 crystal at the PBE level of DFT.

Calculated values
N(E_F) ... 6.78 states/eV/cell
E_form ... -212 meV/atom
E_tot ... -2.66 eV per atom
Symmetry ... R3m

Unit cell a=3.847 b=3.847 c=25.590 alpha=90.00 beta=90.00 gamma=120.00
Element x y z (fractional)
Y 0.000 0.000 0.000
Y 0.333 0.667 0.667
Y 0.667 0.333 0.333
In 0.000 0.000 0.166
In 0.333 0.667 0.833
In 0.667 0.333 0.500
Hg 0.000 0.000 0.418
Hg 0.000 0.000 0.582
Hg 0.333 0.667 0.084
Hg 0.333 0.667 0.248
Hg 0.667 0.333 0.751
Hg 0.667 0.333 0.915

---

Record 2
Computed, not measured: a relaxed Tl6Br4O crystal at the PBE level of DFT.

Calculated values
N(E_F) ... 0.00 states/eV/cell
E_tot ... -3.10 eV per atom
Formation energy (no corrections) ... -746 meV/atom
Symmetry ... Cc

Unit cell a=9.203 b=9.203 c=15.106 alpha=116.39 beta=116.39 gamma=56.04
Element x y z (fractional)
Tl 0.035 0.965 0.500
Tl 0.055 0.446 0.023
Tl 0.122 0.557 0.726
Tl 0.330 0.688 0.304
Tl 0.422 0.963 0.823
Tl 0.446 0.055 0.523
Tl 0.537 0.630 0.582
Tl 0.557 0.122 0.226
Tl 0.630 0.537 0.082
Tl 0.688 0.330 0.804
Tl 0.963 0.422 0.323
Tl 0.965 0.035 0.000
Br 0.038 0.291 0.774
Br 0.187 0.554 0.532
Br 0.291 0.038 0.274
Br 0.351 0.761 0.912
Br 0.554 0.187 0.032
Br 0.759 0.907 0.745
Br 0.761 0.351 0.412
Br 0.907 0.759 0.245
O 0.333 0.848 0.480
O 0.848 0.333 0.980

---

Record 3
Computed, not measured: a relaxed Er5Ga2Te crystal at the PBE level of DFT.

Calculated values
N(E_F) ... 6.37 states/eV/cell
E_tot ... -4.45 eV per atom
Formation energy (no corrections) ... -453 meV/atom
Symmetry ... P1

Unit cell a=6.069 b=6.246 c=6.269 alpha=111.14 beta=100.12 gamma=100.37
Element x y z (fractional)
Er 0.000 0.000 0.000
Er 0.040 0.454 0.862
Er 0.130 0.563 0.423
Er 0.557 0.382 0.009
Er 0.624 0.976 0.456
Ga 0.152 0.074 0.514
Ga 0.650 0.494 0.539
Te 0.470 0.851 0.927

---

Record 4
Computed, not measured: a relaxed LiDy2C crystal at the PBE level of DFT.

Calculated values
N(E_F) ... 3.65 states/eV/cell
E_form ... 267 meV/atom
E_tot ... -4.82 eV per atom
Symmetry ... P4/mmm

Unit cell a=3.202 b=3.202 c=7.913 alpha=90.00 beta=90.00 gamma=90.00
Element x y z (fractional)
Li 0.000 0.000 0.000
Dy 0.500 0.500 0.326
Dy 0.500 0.500 0.674
C 0.000 0.000 0.500

---

Record 5
Computed, not measured: a relaxed BeCo2MoH crystal at the PBE level of DFT.

Calculated values
N(E_F) ... 4.23 states/eV/cell
E_tot ... -6.28 eV per atom
Symmetry ... P4/mmm

Unit cell a=3.572 b=3.572 c=3.687 alpha=90.00 beta=90.00 gamma=90.00
Element x y z (fractional)
Be 0.000 0.000 0.000
Co 0.000 0.500 0.500
Co 0.500 0.000 0.500
Mo 0.500 0.500 0.000
H 0.000 0.000 0.500

---

Record 6
Computed, not measured: a relaxed ZnRh2Br2 crystal at the PBE level of DFT.

Calculated values
N(E_F) ... 6.25 states/eV/cell
E_tot ... -3.57 eV per atom
Formation energy (no corrections) ... 290 meV/atom
Symmetry ... P4/mbm

Unit cell a=6.690 b=6.690 c=4.137 alpha=90.00 beta=90.00 gamma=90.00
Element x y z (fractional)
Zn 0.000 0.000 0.000
Zn 0.500 0.500 0.000
Rh 0.148 0.352 0.000
Rh 0.352 0.852 0.000
Rh 0.648 0.148 0.000
Rh 0.852 0.648 0.000
Br 0.184 0.684 0.500
Br 0.316 0.184 0.500
Br 0.684 0.816 0.500
Br 0.816 0.316 0.500

---

Record 7
Computed, not measured: a relaxed EuAlP crystal at the PBE level of DFT.

Calculated values
N(E_F) ... 0.95 states/eV/cell
E_form ... -691 meV/atom
E_tot ... -7.17 eV per atom
Symmetry ... P-6m2

Unit cell a=4.212 b=4.212 c=4.126 alpha=90.00 beta=90.00 gamma=120.00
Element x y z (fractional)
Eu 0.000 0.000 0.000
Al 0.667 0.333 0.500
P 0.333 0.667 0.500

---

Record 8
Computed, not measured: a relaxed YZr2Ti crystal at the PBE level of DFT.

Calculated values
N(E_F) ... 19.02 states/eV/cell
E_form ... 174 meV/atom
E_tot ... -7.69 eV per atom
Symmetry ... R-3m

Unit cell a=3.214 b=3.214 c=31.475 alpha=90.00 beta=90.00 gamma=120.00
Element x y z (fractional)
Y 0.000 0.000 0.000
Y 0.333 0.667 0.667
Y 0.667 0.333 0.333
Zr 0.000 0.000 0.242
Zr 0.000 0.000 0.758
Zr 0.333 0.667 0.424
Zr 0.333 0.667 0.909
Zr 0.667 0.333 0.091
Zr 0.667 0.333 0.576
Ti 0.000 0.000 0.500
Ti 0.333 0.667 0.167
Ti 0.667 0.333 0.833

---

Record 9
Computed, not measured: a relaxed Y2GeAs crystal at the PBE level of DFT.

Calculated values
N(E_F) ... 3.33 states/eV/cell
E_form ... -1122 meV/atom
E_tot ... -6.67 eV per atom
Symmetry ... R-3m

Unit cell a=4.029 b=4.029 c=21.396 alpha=90.00 beta=90.00 gamma=120.00
Element x y z (fractional)
Y 0.000 0.000 0.247
Y 0.000 0.000 0.753
Y 0.333 0.667 0.420
Y 0.333 0.667 0.913
Y 0.667 0.333 0.087
Y 0.667 0.333 0.580
Ge 0.000 0.000 0.000
Ge 0.333 0.667 0.667
Ge 0.667 0.333 0.333
As 0.000 0.000 0.500
As 0.333 0.667 0.167
As 0.667 0.333 0.833

---

Record 10
Computed, not measured: a relaxed Na5Zr2F13 crystal at the PBE level of DFT.

Calculated values
N(E_F) ... 0.00 states/eV/cell
E_tot ... -5.58 eV per atom
Formation energy (no corrections) ... -3181 meV/atom
Symmetry ... C2/m

Unit cell a=6.617 b=6.617 c=9.213 alpha=93.14 beta=93.14 gamma=51.55
Element x y z (fractional)
Na 0.000 0.000 0.000
Na 0.192 0.192 0.390
Na 0.336 0.336 0.927
Na 0.664 0.664 0.073
Na 0.808 0.808 0.610
Zr 0.082 0.082 0.720
Zr 0.918 0.918 0.280
F 0.000 0.000 0.500
F 0.053 0.595 0.387
F 0.064 0.641 0.106
F 0.163 0.729 0.769
F 0.271 0.837 0.231
F 0.359 0.936 0.894
F 0.405 0.947 0.613
F 0.595 0.053 0.387
F 0.641 0.064 0.106
F 0.729 0.163 0.769
F 0.837 0.271 0.231
F 0.936 0.359 0.894
F 0.947 0.405 0.613

---

Record 11
Computed, not measured: a relaxed Mg2PH2 crystal at the PBE level of DFT.

Calculated values
N(E_F) ... 0.78 states/eV/cell
E_tot ... -3.03 eV per atom
Symmetry ... P4/mmm

Unit cell a=4.286 b=4.286 c=3.297 alpha=90.00 beta=90.00 gamma=90.00
Element x y z (fractional)
Mg 0.000 0.500 0.000
Mg 0.500 0.000 0.000
P 0.000 0.000 0.500
H 0.500 0.500 0.000
H 0.500 0.500 0.500

---

Record 12
Computed, not measured: a relaxed BaB12H12 crystal at the PBE level of DFT.

Calculated values
N(E_F) ... 0.00 states/eV/cell
E_tot ... -5.28 eV per atom
Symmetry ... P31c

Unit cell a=7.307 b=7.307 c=11.837 alpha=90.00 beta=90.00 gamma=120.00
Element x y z (fractional)
Ba 0.333 0.667 0.000
Ba 0.667 0.333 0.500
B 0.085 0.471 0.653
B 0.137 0.719 0.598
B 0.180 0.545 0.512
B 0.212 0.700 0.739
B 0.281 0.417 0.598
B 0.300 0.512 0.739
B 0.365 0.820 0.512
B 0.386 0.915 0.653
B 0.417 0.281 0.098
B 0.455 0.635 0.512
B 0.471 0.085 0.153
B 0.488 0.788 0.739
B 0.512 0.300 0.239
B 0.529 0.614 0.653
B 0.545 0.180 0.012
B 0.583 0.863 0.598
B 0.614 0.529 0.153
B 0.635 0.455 0.012
B 0.700 0.212 0.239
B 0.719 0.137 0.098
B 0.788 0.488 0.239
B 0.820 0.365 0.012
B 0.863 0.583 0.098
B 0.915 0.386 0.153
H 0.002 0.760 0.078
H 0.074 0.458 0.430
H 0.091 0.423 0.175
H 0.125 0.726 0.819
H 0.240 0.242 0.078
H 0.242 0.240 0.578
H 0.274 0.399 0.819
H 0.332 0.909 0.175
H 0.384 0.926 0.430
H 0.399 0.274 0.319
H 0.423 0.091 0.675
H 0.458 0.074 0.930
H 0.542 0.616 0.430
H 0.577 0.668 0.175
H 0.601 0.875 0.819
H 0.616 0.542 0.930
H 0.668 0.577 0.675
H 0.726 0.125 0.319
H 0.758 0.998 0.078
H 0.760 0.002 0.578
H 0.875 0.601 0.319
H 0.909 0.332 0.675
H 0.926 0.384 0.930
H 0.998 0.758 0.578